CsSnMo2F | PBE with a Hubbard U | optimized geometry

Output
raw total energy: -2.42 eV per atom

```
CsSnMo2F
1.0
6.981 0.000 0.000
0.000 6.981 0.000
0.000 0.000 6.835
Cs Sn Mo F
1 1 2 1
Cartesian
0.000 0.000 0.000
0.000 0.000 3.417
0.000 3.491 0.000
3.491 0.000 0.000
3.491 3.491 3.417
```